Crystalline AlCoSn at its relaxed geometry, computed with GGA-PBE.

## Properties
density of states at the Fermi level: 8.1 states/eV/cell
E_form: -0.21 eV per atom

Cell lengths 4.1729, 4.1729, 20.3813 Å; angles 90.00, 90.00, 120.00 degrees
Space group R3m (No. 160, hexagonal axes)
Inequivalent atoms, fractional coordinates:
1 Al 0.0000 0.0000 0.0000 (multiplicity 3)
2 Al 0.0000 0.0000 0.2616 (multiplicity 3)
3 Co 0.0000 0.0000 0.3777 (multiplicity 3)
4 Co 0.0000 0.0000 0.6337 (multiplicity 3)
5 Sn 0.0000 0.0000 0.5111 (multiplicity 3)
6 Sn 0.0000 0.0000 0.7591 (multiplicity 3)